Tl3FeF6 | PBE+U | optimized geometry

Computed properties:
E ... -0.3257 Ry/atom
N(E_F) ... 0.0 states/eV per cell

Cell lengths 8.3727, 8.3727, 6.1834 Å; angles 90.00, 90.00, 83.82 degrees
Fractional coordinates of all 20 atoms:
Tl 0.1074 0.3588 0.5112
Tl 0.1279 0.8721 0.5000
Tl 0.3588 0.1074 0.0112
Tl 0.6412 0.8926 0.5112
Tl 0.8721 0.1279 0.0000
Tl 0.8926 0.6412 0.0112
Fe 0.4063 0.5937 0.9558
Fe 0.5937 0.4063 0.4558
F 0.1230 0.1259 0.2550
F 0.1259 0.1230 0.7550
F 0.2457 0.7543 0.0304
F 0.2655 0.4322 0.9594
F 0.4322 0.2655 0.4594
F 0.4503 0.5497 0.6478
F 0.5497 0.4503 0.1478
F 0.5678 0.7345 0.9594
F 0.7345 0.5678 0.4594
F 0.7543 0.2457 0.5304
F 0.8741 0.8770 0.2550
F 0.8770 0.8741 0.7550